No. 1
A plane-wave DFT calculation with PBE was carried out for a relaxed structure of Tb12Pm3Zn.

Cell: 4.9876 4.9876 20.0823 Å, 90.00 90.00 90.00°
With the nearest neighbours (Å) after each atom.
Element x y z (fractional)
Tb: 0.0000 0.0000 0.0000  8 Tb 3.42, 4 Zn 3.53
Tb: 0.0000 0.0000 0.2410  4 Pm 3.53, 8 Tb 3.53-3.62
Tb: 0.0000 0.0000 0.5000  4 Pm 3.53, 8 Tb 3.59
Tb: 0.0000 0.0000 0.7590  4 Pm 3.53, 8 Tb 3.53-3.62
Tb: 0.0000 0.5000 0.1164  8 Tb 3.42-3.53, 2 Zn 3.42, 2 Pm 3.59
Tb: 0.0000 0.5000 0.3717  8 Tb 3.53-3.62, 4 Pm 3.57-3.59
Tb: 0.0000 0.5000 0.6283  8 Tb 3.53-3.62, 4 Pm 3.57-3.59
Tb: 0.0000 0.5000 0.8836  8 Tb 3.42-3.53, 2 Zn 3.42, 2 Pm 3.59
Tb: 0.5000 0.0000 0.1164  8 Tb 3.42-3.53, 2 Zn 3.42, 2 Pm 3.59
Tb: 0.5000 0.0000 0.3717  8 Tb 3.53-3.62, 4 Pm 3.57-3.59
Tb: 0.5000 0.0000 0.6283  8 Tb 3.53-3.62, 4 Pm 3.57-3.59
Tb: 0.5000 0.0000 0.8836  8 Tb 3.42-3.53, 2 Zn 3.42, 2 Pm 3.59
Pm: 0.5000 0.5000 0.2448  12 Tb 3.53-3.59
Pm: 0.5000 0.5000 0.5000  12 Tb 3.53-3.59
Pm: 0.5000 0.5000 0.7552  12 Tb 3.53-3.59
Zn: 0.5000 0.5000 0.0000  12 Tb 3.42-3.53

Properties
* formation enthalpy at 0 K: 1.8 kJ per mole of atoms
* magnetic moment: 0.0 μB per formula unit
* E: -70.786 eV/cell
* symmetry: No. 123

---

No. 2
A plane-wave DFT calculation with PBE was carried out for a relaxed structure of Tb3Pm2Zn3.

Cell: 11.3376 11.3376 11.3376 Å, 161.42 153.53 32.53°
With the nearest neighbours (Å) after each atom.
Element x y z (fractional)
Tb: 0.0000 0.0000 0.0000  8 Zn 3.06-3.18
Tb: 0.3845 0.8845 0.5000  6 Zn 3.11-3.18
Tb: 0.6155 0.1155 0.5000  6 Zn 3.11-3.18
Pm: 0.2277 0.2277 0.0000  2 Zn 3.11, 4 Pm 3.32
Pm: 0.7723 0.7723 0.0000  2 Zn 3.11, 4 Pm 3.32
Zn: 0.1124 0.6124 0.5000  6 Tb 3.06-3.18, 2 Pm 3.11
Zn: 0.5000 0.5000 0.0000  8 Tb 3.11-3.18
Zn: 0.8876 0.3876 0.5000  6 Tb 3.06-3.18, 2 Pm 3.11

Properties
* formation enthalpy at 0 K: -22.5 kJ per mole of atoms
* magnetic moment: 0.0 μB per formula unit
* E: -29.081 eV/cell
* symmetry: No. 71

---

No. 3
A plane-wave DFT calculation with PBE was carried out for a relaxed structure of TbPmZn.

Cell: 10.0290 5.0041 7.1091 Å, 90.00 90.00 90.00°
With the nearest neighbours (Å) after each atom.
Element x y z (fractional)
Tb: 0.1216 0.2500 0.0041  4 Zn 3.01-3.10
Tb: 0.3784 0.7500 0.5041  4 Zn 3.01-3.10
Tb: 0.6216 0.2500 0.4959  4 Zn 3.01-3.10
Tb: 0.8784 0.7500 0.9959  4 Zn 3.01-3.10
Pm: 0.1290 0.2500 0.5037  4 Zn 3.04-3.14
Pm: 0.3710 0.7500 0.0037  4 Zn 3.04-3.14
Pm: 0.6290 0.2500 0.9963  4 Zn 3.04-3.14
Pm: 0.8710 0.7500 0.4963  4 Zn 3.04-3.14
Zn: 0.1249 0.7500 0.7536  4 Tb 3.01-3.10, 4 Pm 3.04-3.14
Zn: 0.3751 0.2500 0.2536  4 Tb 3.01-3.10, 4 Pm 3.04-3.14
Zn: 0.6249 0.7500 0.7464  4 Tb 3.01-3.10, 4 Pm 3.04-3.14
Zn: 0.8751 0.2500 0.2464  4 Tb 3.01-3.10, 4 Pm 3.04-3.14

Properties
* formation enthalpy at 0 K: 2.8 kJ per mole of atoms
* magnetic moment: 0.0 μB per formula unit
* E: -42.274 eV/cell
* E above lowest polymorph: 234 meV/atom
* symmetry: No. 62

---

No. 4
A plane-wave DFT calculation with PBE was carried out for a relaxed structure of Tb4Pm3Zn4.

Cell: 9.0962 9.0962 9.0962 Å, 148.73 129.73 60.40°
With the nearest neighbours (Å) after each atom.
Element x y z (fractional)
Tb: 0.0418 0.8276 0.2143  4 Zn 2.86-3.01
Tb: 0.3867 0.1724 0.2143  4 Zn 2.86-3.01
Tb: 0.6133 0.8276 0.7857  4 Zn 2.86-3.01
Tb: 0.9582 0.1724 0.7857  4 Zn 2.86-3.01
Pm: 0.0000 0.5000 0.5000  6 Zn 3.25-3.56
Pm: 0.3897 0.3897 0.0000  4 Zn 3.27, 4 Tb 3.44, 1 Pm 3.47
Pm: 0.6103 0.6103 0.0000  4 Zn 3.27, 4 Tb 3.44, 1 Pm 3.47
Zn: 0.2064 0.7064 0.5000  6 Tb 2.92-3.01, 1 Pm 3.25
Zn: 0.3334 0.0000 0.3334  1 Zn 2.57, 2 Tb 2.86
Zn: 0.6666 0.0000 0.6666  1 Zn 2.57, 2 Tb 2.86
Zn: 0.7936 0.2936 0.5000  6 Tb 2.92-3.01, 1 Pm 3.25

Properties
* formation enthalpy at 0 K: -12.6 kJ per mole of atoms
* magnetic moment: 0.0 μB per formula unit
* E: -39.302 eV/cell
* symmetry: No. 71

---

No. 5
A plane-wave DFT calculation with PBE was carried out for a relaxed structure of TbPmZn4.

Cell: 5.7598 5.7598 5.7598 Å, 133.82 103.18 94.56°
With the nearest neighbours (Å) after each atom.
Element x y z (fractional)
Tb: 0.0000 0.0000 0.0000  12 Zn 3.15-3.17
Pm: 0.5000 0.0000 0.5000  12 Zn 3.15-3.17
Zn: 0.0815 0.3336 0.7479  3 Zn 2.60-2.61
Zn: 0.4144 0.6664 0.7479  3 Zn 2.60-2.61
Zn: 0.5856 0.3336 0.2521  3 Zn 2.60-2.61
Zn: 0.9185 0.6664 0.2521  3 Zn 2.60-2.61

Properties
* formation enthalpy at 0 K: -34.9 kJ per mole of atoms
* magnetic moment: 0.0 μB per formula unit
* E: -16.648 eV/cell
* E above lowest polymorph: 0 meV/atom
* symmetry: No. 71

---

No. 6
A plane-wave DFT calculation with PBE was carried out for a relaxed structure of Tb4Pm9Zn11.

Cell: 13.3506 13.3506 3.5311 Å, 90.00 90.00 109.59°
With the nearest neighbours (Å) after each atom.
Element x y z (fractional)
Tb: 0.0706 0.2513 0.0000  6 Zn 3.07-3.18, 3 Pm 3.17-3.40
Tb: 0.2513 0.0706 0.0000  6 Zn 3.07-3.18, 3 Pm 3.17-3.40
Tb: 0.7487 0.9294 0.0000  6 Zn 3.07-3.18, 3 Pm 3.17-3.40
Tb: 0.9294 0.7487 0.0000  6 Zn 3.07-3.18, 3 Pm 3.17-3.40
Pm: 0.0000 0.0000 0.0000  4 Tb 3.17, 4 Zn 3.39, 2 Pm 3.53
Pm: 0.1240 0.6446 0.0000  8 Zn 3.11-3.42, 1 Tb 3.33
Pm: 0.2939 0.4700 0.0000  8 Zn 3.12-3.23, 1 Tb 3.40
Pm: 0.3554 0.8760 0.0000  8 Zn 3.11-3.42, 1 Tb 3.33
Pm: 0.4700 0.2939 0.0000  8 Zn 3.12-3.23, 1 Tb 3.40
Pm: 0.5300 0.7061 0.0000  8 Zn 3.12-3.23, 1 Tb 3.40
Pm: 0.6446 0.1240 0.0000  8 Zn 3.11-3.42, 1 Tb 3.33
Pm: 0.7061 0.5300 0.0000  8 Zn 3.12-3.23, 1 Tb 3.40
Pm: 0.8760 0.3554 0.0000  8 Zn 3.11-3.42, 1 Tb 3.33
Zn: 0.0837 0.4430 0.5000  2 Tb 3.07, 1 Zn 3.10, 6 Pm 3.11-3.23
Zn: 0.1328 0.8672 0.5000  4 Tb 3.18, 6 Pm 3.39-3.42, 2 Zn 3.53
Zn: 0.2631 0.2631 0.5000  4 Tb 3.08, 4 Pm 3.19
Zn: 0.3284 0.6716 0.5000  8 Pm 3.12-3.17
Zn: 0.4430 0.0837 0.5000  2 Tb 3.07, 1 Zn 3.10, 6 Pm 3.11-3.23
Zn: 0.5000 0.5000 0.5000  8 Pm 3.18, 2 Zn 3.53
Zn: 0.5570 0.9163 0.5000  2 Tb 3.07, 1 Zn 3.10, 6 Pm 3.11-3.23
Zn: 0.6716 0.3284 0.5000  8 Pm 3.12-3.17
Zn: 0.7369 0.7369 0.5000  4 Tb 3.08, 4 Pm 3.19
Zn: 0.8672 0.1328 0.5000  4 Tb 3.18, 6 Pm 3.39-3.42, 2 Zn 3.53
Zn: 0.9163 0.5570 0.5000  2 Tb 3.07, 1 Zn 3.10, 6 Pm 3.11-3.23

Properties
* formation enthalpy at 0 K: -22.9 kJ per mole of atoms
* magnetic moment: 0.0 μB per formula unit
* E: -80.987 eV/cell
* symmetry: No. 65

---

No. 7
A plane-wave DFT calculation with PBE was carried out for a relaxed structure of Tb4PmZn4.

Cell: 7.2135 7.2135 7.2135 Å, 97.21 97.21 138.52°
With the nearest neighbours (Å) after each atom.
Element x y z (fractional)
Tb: 0.1086 0.6524 0.7610  4 Zn 2.97-3.02
Tb: 0.3476 0.1086 0.4562  4 Zn 2.97-3.02
Tb: 0.6524 0.8914 0.5438  4 Zn 2.97-3.02
Tb: 0.8914 0.3476 0.2390  4 Zn 2.97-3.02
Pm: 0.0000 0.0000 0.0000  8 Zn 3.17, 4 Tb 3.47
Zn: 0.3190 0.4226 0.7417  2 Zn 2.66, 1 Tb 2.97
Zn: 0.4226 0.6810 0.1036  2 Zn 2.66, 1 Tb 2.97
Zn: 0.5774 0.3190 0.8964  2 Zn 2.66, 1 Tb 2.97
Zn: 0.6810 0.5774 0.2583  2 Zn 2.66, 1 Tb 2.97

Properties
* formation enthalpy at 0 K: -13.9 kJ per mole of atoms
* magnetic moment: 0.0 μB per formula unit
* E: -29.661 eV/cell
* symmetry: No. 87

---

No. 8
A plane-wave DFT calculation with PBE was carried out for a relaxed structure of Tb2PmZn4.

Cell: 7.3113 7.3113 7.3113 Å, 138.38 138.38 60.32°
With the nearest neighbours (Å) after each atom.
Element x y z (fractional)
Tb: 0.2231 0.2231 0.0000  4 Zn 2.95
Tb: 0.7769 0.7769 0.0000  4 Zn 2.95
Pm: 0.5000 0.5000 0.0000  8 Zn 2.96
Zn: 0.1120 0.6120 0.5000  1 Zn 2.83, 2 Tb 2.95, 2 Pm 2.96
Zn: 0.3880 0.8880 0.5000  1 Zn 2.83, 2 Tb 2.95, 2 Pm 2.96
Zn: 0.6120 0.1120 0.5000  1 Zn 2.83, 2 Tb 2.95, 2 Pm 2.96
Zn: 0.8880 0.3880 0.5000  1 Zn 2.83, 2 Tb 2.95, 2 Pm 2.96

Properties
* formation enthalpy at 0 K: -14.0 kJ per mole of atoms
* magnetic moment: 0.0 μB per formula unit
* E: -20.126 eV/cell
* symmetry: No. 139

---

No. 9
A plane-wave DFT calculation with PBE was carried out for a relaxed structure of TbPm3Zn2.

Cell: 3.6584 3.6584 12.3242 Å, 90.00 90.00 90.00°
With the nearest neighbours (Å) after each atom.
Element x y z (fractional)
Tb: 0.0000 0.0000 0.0000  8 Pm 3.63, 4 Tb 3.66
Pm: 0.5000 0.5000 0.2066  4 Zn 3.16
Pm: 0.5000 0.5000 0.5000  8 Zn 3.16
Pm: 0.5000 0.5000 0.7934  4 Zn 3.16
Zn: 0.0000 0.0000 0.3532  8 Pm 3.16
Zn: 0.0000 0.0000 0.6468  8 Pm 3.16

Properties
* formation enthalpy at 0 K: -19.9 kJ per mole of atoms
* magnetic moment: 0.0 μB per formula unit
* E: -22.666 eV/cell
* symmetry: No. 123

---

No. 10
A plane-wave DFT calculation with PBE was carried out for a relaxed structure of Tb2Pm3Zn3.

Cell: 11.3173 11.3173 11.3173 Å, 161.31 152.96 33.07°
With the nearest neighbours (Å) after each atom.
Element x y z (fractional)
Tb: 0.2297 0.2297 0.0000  2 Zn 3.05, 4 Tb 3.34
Tb: 0.7703 0.7703 0.0000  2 Zn 3.05, 4 Tb 3.34
Pm: 0.0000 0.0000 0.0000  8 Zn 3.15-3.22
Pm: 0.3815 0.8815 0.5000  6 Zn 3.16-3.22
Pm: 0.6185 0.1185 0.5000  6 Zn 3.16-3.22
Zn: 0.1177 0.6177 0.5000  2 Tb 3.05, 6 Pm 3.15-3.22
Zn: 0.5000 0.5000 0.0000  8 Pm 3.16-3.22
Zn: 0.8823 0.3823 0.5000  2 Tb 3.05, 6 Pm 3.15-3.22

Properties
* formation enthalpy at 0 K: -22.7 kJ per mole of atoms
* magnetic moment: 0.0 μB per formula unit
* E: -29.218 eV/cell
* symmetry: No. 71

---

Number 1: V 31.2 Å³ per atom. Number 2: V 25.8 Å³ per atom. Number 3: V 29.7 Å³ per atom. Number 4: V 27.1 Å³ per atom. Number 5: V 21.1 Å³ per atom. Number 6: V 24.7 Å³ per atom. Number 7: V 25.8 Å³ per atom. Number 8: V 24.4 Å³ per atom. Number 9: V 27.5 Å³ per atom. Number 10: V 26.4 Å³ per atom.